Compound: Nd6CuTe5
Source: Alexandria
Functional: PBE-GGA
Structure: optimized geometry

* E: -5.261 eV/atom
* DOS at the Fermi energy: 0.452 states/eV per atom
* size of the total moment: 0.0 μB per cell
* raw formation energy: -1.227 eV per atom

a = 7.7458 Å, b = 13.3629 Å, c = 7.7218 Å
α = 90.00°, β = 109.59°, γ = 90.00°
Closest atoms and distances in Å follow each position.
Space group C2/m (No. 12)
Unique sites:
Nd (0.2309, 0.0000, 0.2564) [4 per cell]  1 Cu 3.00, 5 Te 3.17-3.32
Nd (0.2328, 0.1562, 0.7337) [8 per cell]  1 Cu 2.95, 5 Te 3.16-3.26
Cu (0.0000, 0.0000, 0.5000) [2 per cell]  6 Nd 2.95-3.00
Te (0.0000, 0.1772, 0.0000) [4 per cell]  6 Nd 3.17-3.26
Te (0.0000, 0.3360, 0.5000) [4 per cell]  6 Nd 3.17-3.18
Te (0.0000, 0.5000, 0.0000) [2 per cell]  6 Nd 3.16-3.32

=====

Compound: Nd2CuTe4
Source: Alexandria
Functional: PBE-GGA
Structure: optimized geometry

* E: -4.799 eV/atom
* DOS at the Fermi energy: 0.242 states/eV per atom
* size of the total moment: 0.0 μB per cell
* raw formation energy: -1.056 eV per atom

a = 6.4237 Å, b = 8.4008 Å, c = 7.7265 Å
α = 90.00°, β = 90.09°, γ = 90.00°
Closest atoms and distances in Å follow each position.
Space group P2_1 (No. 4)
Unique sites:
Nd (0.0006, 0.0000, 0.2309) [2 per cell]  8 Te 3.22-3.52, 2 Cu 3.26-3.48
Nd (0.4954, 0.8856, 0.7593) [2 per cell]  8 Te 3.15-3.51, 1 Cu 3.30
Cu (0.1902, 0.6511, 0.4146) [2 per cell]  4 Te 2.61-2.79
Te (0.0124, 0.8583, 0.6179) [2 per cell]  2 Cu 2.61-2.79
Te (0.2472, 0.6922, 0.0833) [2 per cell]  1 Cu 2.61
Te (0.2541, 0.1939, 0.9305) [2 per cell]  2 Te 3.21-3.22, 4 Nd 3.27-3.30
Te (0.4827, 0.5330, 0.6196) [2 per cell]  1 Cu 2.65

=====

Compound: Nd3CuTe6
Source: Alexandria
Functional: PBE-GGA
Structure: optimized geometry

* E: -4.741 eV/atom
* DOS at the Fermi energy: 0.396 states/eV per atom
* size of the total moment: 0.0 μB per cell
* raw formation energy: -1.016 eV per atom

a = 12.5193 Å, b = 14.0130 Å, c = 7.6442 Å
α = 90.00°, β = 90.00°, γ = 90.00°
Closest atoms and distances in Å follow each position.
Space group Cmc2_1 (No. 36)
Unique sites:
Nd (0.0000, 0.1059, 0.0000) [4 per cell]  7 Te 3.20-3.36
Nd (0.1759, 0.4039, 0.1029) [8 per cell]  7 Te 3.17-3.31
Cu (0.0000, 0.2870, 0.6493) [4 per cell]  4 Te 2.56-2.67
Te (0.0000, 0.2798, 0.3033) [4 per cell]  1 Cu 2.65
Te (0.0000, 0.4596, 0.7968) [4 per cell]  1 Cu 2.67
Te (0.1611, 0.0387, 0.3043) [8 per cell]  4 Nd 3.17-3.23
Te (0.1718, 0.2379, 0.8076) [8 per cell]  1 Cu 2.56

=====

Compound: Nd3Cu5Te12
Source: Alexandria
Functional: PBE-GGA
Structure: optimized geometry

* E: -4.063 eV/atom
* DOS at the Fermi energy: 0.669 states/eV per atom
* size of the total moment: 0.0 μB per cell
* raw formation energy: -0.439 eV per atom

a = 16.8057 Å, b = 16.8057 Å, c = 16.8057 Å
α = 90.00°, β = 90.00°, γ = 90.00°
Closest atoms and distances in Å follow each position.
Space group Ia-3d (No. 230)
Unique sites:
Nd (0.0000, 0.2500, 0.1250) [24 per cell]  8 Te 3.25-3.28
Cu (0.0000, 0.0000, 0.0000) [16 per cell]  6 Te 2.71
Cu (0.0000, 0.2500, 0.3750) [24 per cell]  4 Te 2.56
Te (0.0286, 0.0582, 0.6475) [96 per cell]  2 Cu 2.56-2.71

=====

Compound: Nd5Cu2Te
Source: Alexandria
Functional: PBE-GGA
Structure: optimized geometry

* E: -4.811 eV/atom
* DOS at the Fermi energy: 1.077 states/eV per atom
* size of the total moment: 0.0 μB per cell
* raw formation energy: -0.414 eV per atom

a = 8.2597 Å, b = 8.2597 Å, c = 13.0384 Å
α = 90.00°, β = 90.00°, γ = 90.00°
Closest atoms and distances in Å follow each position.
Space group I4/mcm (No. 140)
Unique sites:
Nd (0.0000, 0.0000, 0.0000) [4 per cell]  4 Cu 3.22, 2 Te 3.26
Nd (0.1528, 0.3472, 0.1416) [16 per cell]  3 Cu 3.01-3.10
Cu (0.1337, 0.3663, 0.5000) [8 per cell]  8 Nd 3.01-3.22, 1 Cu 3.12
Te (0.0000, 0.0000, 0.2500) [4 per cell]  10 Nd 3.26-3.44

=====

Compound: Nd4CuTe
Source: Alexandria
Functional: PBE-GGA
Structure: optimized geometry

* E: -4.711 eV/atom
* DOS at the Fermi energy: 1.340 states/eV per atom
* size of the total moment: 0.0 μB per cell
* raw formation energy: -0.326 eV per atom

a = 7.3465 Å, b = 7.3554 Å, c = 7.3255 Å
α = 90.00°, β = 91.11°, γ = 90.00°
Closest atoms and distances in Å follow each position.
Space group P2_1/c (No. 14)
Unique sites:
Nd (0.1348, 0.1599, 0.3364) [4 per cell]  2 Cu 2.89-2.95, 1 Te 3.15
Nd (0.3393, 0.6344, 0.3607) [4 per cell]  1 Cu 2.89, 2 Te 3.08-3.10
Cu (0.0000, 0.0000, 0.0000) [2 per cell]  6 Nd 2.89-2.95
Te (0.5000, 0.0000, 0.5000) [2 per cell]  6 Nd 3.08-3.15

=====

Compound: Nd2TmCuTe5
Source: Alexandria
Functional: PBE-GGA
Structure: optimized geometry

* E: -4.953 eV/atom
* DOS at the Fermi energy: 0.010 states/eV per atom
* size of the total moment: 0.0 μB per cell
* raw formation energy: -1.196 eV per atom

a = 4.3032 Å, b = 18.9950 Å, c = 12.9966 Å
α = 90.00°, β = 90.00°, γ = 90.00°
Closest atoms and distances in Å follow each position.
Space group Cmc2_1 (No. 36)
Unique sites:
Nd (0.0000, 0.1093, 0.0000) [4 per cell]  8 Te 3.26-3.36
Nd (0.0000, 0.1246, 0.6195) [4 per cell]  8 Te 3.21-3.57
Tm (0.0000, 0.1905, 0.3232) [4 per cell]  6 Te 2.90-3.10, 2 Cu 3.18
Cu (0.0000, 0.4276, 0.7726) [4 per cell]  4 Te 2.61-2.68
Te (0.0000, 0.0422, 0.3778) [4 per cell]  2 Cu 2.61, 1 Tm 2.90
Te (0.0000, 0.2857, 0.9837) [4 per cell]  2 Tm 3.03, 3 Nd 3.26-3.36
Te (0.0000, 0.3107, 0.6575) [4 per cell]  1 Cu 2.68
Te (0.0000, 0.3534, 0.3129) [4 per cell]  1 Tm 3.10, 4 Nd 3.32-3.33
Te (0.0000, 0.5003, 0.1008) [4 per cell]  1 Cu 2.62

=====

Compound: NdTh2Cu6
Source: Alexandria
Functional: PBE-GGA
Structure: optimized geometry

* E: -5.105 eV/atom
* DOS at the Fermi energy: 0.884 states/eV per atom
* size of the total moment: 0.0 μB per cell

a = 7.5314 Å, b = 7.5314 Å, c = 3.6018 Å
α = 90.00°, β = 90.00°, γ = 120.00°
Closest atoms and distances in Å follow each position.
Space group P6/mmm (No. 191)
Unique sites:
Nd (0.0000, 0.0000, 0.0000) [1 per cell]  12 Cu 3.09
Th (0.3333, 0.6667, 0.0000) [2 per cell]  12 Cu 3.09
Cu (0.0000, 0.3341, 0.5000) [6 per cell]  3 Cu 2.50-2.52